CaRe4Se8: optimized geometry, PBE.

SG   C2/m, No. 12
DFT total energy   -81.545 eV per formula unit
Calculated density   7.48 g/cm³

Unit cell a=7.2896 b=7.2896 c=8.0086 alpha=116.95 beta=116.95 gamma=60.14
Fractional coordinates of all 13 atoms:
Ca 0.0000 0.0000 0.0000
Re 0.0000 0.0000 0.5000
Re 0.0000 0.5000 0.5000
Re 0.5000 0.0000 0.5000
Re 0.5000 0.5000 0.5000
Se 0.2376 0.2376 0.7127
Se 0.2428 0.7350 0.7127
Se 0.2650 0.2650 0.2873
Se 0.2650 0.7572 0.2873
Se 0.7350 0.2428 0.7127
Se 0.7350 0.7350 0.7127
Se 0.7572 0.2650 0.2873
Se 0.7624 0.7624 0.2873